Entry P
VASP calculation (GGA-PBE) on crystalline Re2SiPb at its relaxed geometry.

It has space group Fm-3m (No. 225), with a = 6.3804 Å, b = 6.3804 Å, c = 6.3804 Å, α = 90.00°, β = 90.00° and γ = 90.00°. The inequivalent atoms are Re at (0.2500, 0.2500, 0.2500), Si at (0.0000, 0.0000, 0.0000) and Pb at (0.0000, 0.0000, 0.5000).

The calculation puts the size of the total moment at 0.00 μB/atom.

Entry Q
VASP calculation (GGA-PBE) on crystalline Re2SiPb at its relaxed geometry.

It has space group Pm (No. 6), with a = 3.0754 Å, b = 4.4666 Å, c = 5.2858 Å, α = 90.00°, β = 106.85° and γ = 90.00°. The inequivalent atoms are Re at (0.0000, 0.0000, 0.0000), Re at (0.4059, 0.5000, 0.8194), Si at (0.1032, 0.5000, 0.2141) and Pb at (0.7347, 0.0000, 0.4739).

The calculation puts the size of the total moment at 0.00 μB/atom.

Q: Which of them is the least stable? A: entry P.

Entry P
VASP calculation (GGA-PBE) on crystalline PmPrY2 at its relaxed geometry.

It has space group R3m (No. 160, hexagonal axes), with a = 3.6470 Å, b = 3.6470 Å, c = 35.1932 Å, α = 90.00°, β = 90.00° and γ = 120.00°. The inequivalent atoms are Pm at (0.0000, 0.0000, 0.0000), Pr at (0.0000, 0.0000, 0.8339), Y at (0.0000, 0.0000, 0.2508) and Y at (0.0000, 0.0000, 0.4169).

The calculation puts the size of the total moment at 0.00 μB/atom.

Entry Q
VASP calculation (GGA-PBE) on crystalline PmPrY2 at its relaxed geometry.

It has space group P2_1/m (No. 11), with a = 3.6822 Å, b = 5.8278 Å, c = 12.7190 Å, α = 90.00°, β = 90.01° and γ = 90.00°. The inequivalent atoms are Pm at (0.2488, 0.2500, 0.2094), Pr at (0.2509, 0.2500, 0.7101), Y at (0.2502, 0.7500, 0.5413) and Y at (0.2509, 0.7500, 0.0412).

The calculation puts the size of the total moment at 0.00 μB/atom.

Q: Which of them is the least stable? A: entry Q.

Entry P
VASP calculation (GGA-PBE) on crystalline TaIr2W at its relaxed geometry.

It has space group P4/mmm (No. 123), with a = 3.9955 Å, b = 3.9955 Å, c = 3.9170 Å, α = 90.00°, β = 90.00° and γ = 90.00°. The inequivalent atoms are Ta at (0.0000, 0.0000, 0.0000), Ir at (0.0000, 0.5000, 0.5000) and W at (0.5000, 0.5000, 0.0000).

The calculation puts the size of the total moment at 0.00 μB/atom.

Entry Q
VASP calculation (GGA-PBE) on crystalline TaIr2W at its relaxed geometry.

It has space group R3m (No. 160, hexagonal axes), with a = 2.8203 Å, b = 2.8203 Å, c = 27.7987 Å, α = 90.00°, β = 90.00° and γ = 120.00°. The inequivalent atoms are Ta at (0.0000, 0.0000, 0.0000), Ir at (0.0000, 0.0000, 0.4985), Ir at (0.0000, 0.0000, 0.7466) and W at (0.0000, 0.0000, 0.2419).

The calculation puts the size of the total moment at 0.00 μB/atom.

Q: Which of them is the least stable? A: entry Q.

Entry P
VASP calculation (GGA-PBE) on crystalline LiSbI2O at its relaxed geometry.

It has space group P4/mmm (No. 123), with a = 6.3118 Å, b = 6.3118 Å, c = 4.0375 Å, α = 90.00°, β = 90.00° and γ = 90.00°. The inequivalent atoms are Li at (0.0000, 0.0000, 0.0000), Sb at (0.5000, 0.5000, 0.0000), I at (0.0000, 0.5000, 0.5000) and O at (0.5000, 0.5000, 0.5000).

The calculation puts the size of the total moment at 0.00 μB/atom.

Entry Q
VASP calculation (GGA-PBE) on crystalline LiSbI2O at its relaxed geometry.

It has space group P4/mmm (No. 123), with a = 6.1799 Å, b = 6.1799 Å, c = 4.1391 Å, α = 90.00°, β = 90.00° and γ = 90.00°. The inequivalent atoms are Li at (0.0000, 0.0000, 0.0000), Sb at (0.5000, 0.5000, 0.5000), I at (0.0000, 0.5000, 0.5000) and O at (0.5000, 0.5000, 0.0000).

The calculation puts the size of the total moment at 0.00 μB/atom.

Q: Which of them is the least stable? A: entry P.